# 1
Below is a relaxed structure of GaTe2Pd8, with properties calculated at the GGA-PBE level.

Properties
- energy (eV per atom) = -4.98
- space group = C2/m (12)
- energy relative to the lowest polymorph listed for this composition (meV per atom) = 0
- V (Å³/atom) = 17.00
- formation energy (no corrections) (meV/atom) = -353
- DOS at the Fermi energy (states/eV per cell) = 4.448

Cell: 7.470 7.470 6.646 Å, 113.38 113.38 33.65°
Sites, in units of the cell vectors:
Ga (0.000, 0.000, 0.000)
Te (0.327, 0.327, 0.333)
Te (0.673, 0.673, 0.667)
Pd (0.085, 0.085, 0.432)
Pd (0.169, 0.169, 0.941)
Pd (0.315, 0.315, 0.728)
Pd (0.471, 0.471, 0.182)
Pd (0.529, 0.529, 0.818)
Pd (0.685, 0.685, 0.272)
Pd (0.831, 0.831, 0.059)
Pd (0.915, 0.915, 0.568)


# 2
Below is a relaxed structure of Mg2RePb, with properties calculated at the GGA-PBE level.

Properties
- energy (eV per atom) = -4.38
- space group = Pmmm (47)
- V (Å³/atom) = 20.40
- DOS at the Fermi energy (states/eV per cell) = 2.792

Cell: 3.030 3.672 7.336 Å, 90.00 90.00 90.00°
Sites, in units of the cell vectors:
Mg (0.000, 0.000, 0.202)
Mg (0.000, 0.000, 0.798)
Re (0.500, 0.500, 0.000)
Pb (0.500, 0.500, 0.500)


# 3
Below is a relaxed structure of Tl2SnF, with properties calculated at the GGA-PBE level.

Properties
- energy (eV per atom) = -3.30
- space group = R-3m (166)
- energy relative to the lowest polymorph listed for this composition (meV per atom) = 0
- V (Å³/atom) = 26.45
- formation energy (no corrections) (meV/atom) = -653
- DOS at the Fermi energy (states/eV per cell) = 2.713

Cell: 10.950 10.950 10.950 Å, 17.69 17.69 17.69°
Sites, in units of the cell vectors:
Tl (0.107, 0.107, 0.107)
Tl (0.893, 0.893, 0.893)
Sn (0.000, 0.000, 0.000)
F (0.500, 0.500, 0.500)


# 4
Below is a relaxed structure of Ga3Sn, with properties calculated at the GGA-PBE level.

Properties
- energy (eV per atom) = -3.21
- space group = Pmm2 (25)
- V (Å³/atom) = 21.83
- DOS at the Fermi energy (states/eV per cell) = 1.406

Cell: 3.614 4.166 5.800 Å, 90.00 90.00 90.00°
Sites, in units of the cell vectors:
Ga (0.000, 0.000, 0.000)
Ga (0.000, 0.500, 0.335)
Ga (0.500, 0.000, 0.394)
Sn (0.500, 0.500, 0.778)


# 5
Below is a relaxed structure of Ga3PdW, with properties calculated at the GGA-PBE level.

Properties
- energy (eV per atom) = -4.71
- space group = Pm-3m (221)
- energy relative to the lowest polymorph listed for this composition (meV per atom) = 0
- V (Å³/atom) = 23.10
- DOS at the Fermi energy (states/eV per cell) = 3.813

Cell: 4.870 4.870 4.870 Å, 90.00 90.00 90.00°
Sites, in units of the cell vectors:
Ga (0.000, 0.000, 0.500)
Ga (0.000, 0.500, 0.000)
Ga (0.500, 0.000, 0.000)
Pd (0.500, 0.500, 0.500)
W (0.000, 0.000, 0.000)


# 6
Below is a relaxed structure of Ag3TeOs, with properties calculated at the GGA-PBE level.

Properties
- energy (eV per atom) = -3.20
- space group = Pm-3m (221)
- energy relative to the lowest polymorph listed for this composition (meV per atom) = 0
- V (Å³/atom) = 26.71
- formation energy (no corrections) (meV/atom) = 1380
- DOS at the Fermi energy (states/eV per cell) = 3.282

Cell: 5.111 5.111 5.111 Å, 90.00 90.00 90.00°
Sites, in units of the cell vectors:
Ag (0.000, 0.000, 0.500)
Ag (0.000, 0.500, 0.000)
Ag (0.500, 0.000, 0.000)
Te (0.500, 0.500, 0.500)
Os (0.000, 0.000, 0.000)


# 7
Below is a relaxed structure of TiCdFe2Co, with properties calculated at the GGA-PBE level.

Properties
- energy (eV per atom) = -5.20
- space group = P4/mmm (123)
- V (Å³/atom) = 18.10
- DOS at the Fermi energy (states/eV per cell) = 4.739

Cell: 4.208 4.208 5.109 Å, 90.00 90.00 90.00°
Sites, in units of the cell vectors:
Ti (0.000, 0.000, 0.000)
Cd (0.000, 0.000, 0.500)
Fe (0.000, 0.500, 0.000)
Fe (0.500, 0.000, 0.000)
Co (0.500, 0.500, 0.500)


# 8
Below is a relaxed structure of ScMnCr, with properties calculated at the GGA-PBE level.

Properties
- energy (eV per atom) = -8.15
- space group = P3m1 (156)
- energy relative to the lowest polymorph listed for this composition (meV per atom) = 262
- V (Å³/atom) = 15.18
- DOS at the Fermi energy (states/eV per cell) = 2.558

Cell: 4.233 4.233 2.936 Å, 90.00 90.00 120.00°
Sites, in units of the cell vectors:
Sc (0.000, 0.000, 0.000)
Mn (0.333, 0.667, 0.613)
Cr (0.667, 0.333, 0.390)